DFT (GGA-PBE) results for an optimized crystal structure of Sm4Dy10Ho.

Properties
Final energy ... -58.31 eV per cell
ΔE_f ... 745 meV/atom
Symmetry ... I4/m
Crystal system ... tetragonal

abc: 7.7085 9.4389 9.4389
angles: 80.40 65.90 65.90
Last column: nearest neighbours and their distance in Å.
Fractional coordinates of all 15 atoms:
1 Sm 0.3992 0.8017 0.3998  8 Dy 3.34-3.35
2 Dy 0.6525 0.2981 0.8996  1 Ho 3.32, 3 Sm 3.34
3 Dy 0.4479 0.8996 0.7019  1 Ho 3.32, 3 Sm 3.34
4 Dy 0.3475 0.7019 0.1004  1 Ho 3.32, 3 Sm 3.34
5 Dy 0.5521 0.1004 0.2981  1 Ho 3.32, 3 Sm 3.34
6 Dy 0.2500 0.5000 0.5000  4 Sm 3.35
7 Dy 0.9506 0.8996 0.7019  1 Ho 3.32, 3 Sm 3.34
8 Dy 0.1498 0.2981 0.8996  1 Ho 3.32, 3 Sm 3.34
9 Sm 0.6008 0.1983 0.6002  8 Dy 3.34-3.35
10 Dy 0.0494 0.1004 0.2981  1 Ho 3.32, 3 Sm 3.34
11 Dy 0.8502 0.7019 0.1004  1 Ho 3.32, 3 Sm 3.34
12 Ho 0.0000 0.0000 0.0000  8 Dy 3.32
13 Sm 0.2009 0.3998 0.1983  8 Dy 3.34-3.35
14 Sm 0.7991 0.6002 0.8017  8 Dy 3.34-3.35
15 Dy 0.7500 0.5000 0.5000  4 Sm 3.35

***

DFT (GGA-PBE) results for an optimized crystal structure of Ga2TePd8.

Properties
Final energy ... -55.19 eV per cell
Formation energy (no corrections) ... -0.405 eV per atom
Symmetry ... Immm
Crystal system ... orthorhombic
Energy above the most stable polymorph in this dataset ... 0.027 eV/atom

abc: 4.1009 7.1316 7.3388
angles: 119.07 106.22 90.00
Last column: nearest neighbours and their distance in Å.
Fractional coordinates of all 11 atoms:
1 Pd 0.3370 0.5599 0.6741  3 Ga 2.61-2.72, 5 Pd 2.75-2.86, 1 Te 2.80
2 Pd 0.3370 0.1142 0.6741  3 Ga 2.61-2.72, 5 Pd 2.75-2.86, 1 Te 2.80
3 Ga 0.8167 0.3167 0.6335  10 Pd 2.61-2.86
4 Pd 0.0000 0.3074 0.0000  2 Ga 2.62, 7 Pd 2.75-2.87
5 Pd 0.6630 0.4401 0.3259  3 Ga 2.61-2.72, 5 Pd 2.75-2.86, 1 Te 2.80
6 Pd 0.6630 0.8858 0.3259  3 Ga 2.61-2.72, 5 Pd 2.75-2.86, 1 Te 2.80
7 Pd 0.8472 0.8472 0.6944  8 Pd 2.75-2.87, 2 Te 2.77, 2 Ga 2.86
8 Ga 0.1833 0.6833 0.3665  10 Pd 2.61-2.86
9 Pd 0.0000 0.6926 0.0000  2 Ga 2.62, 7 Pd 2.75-2.87
10 Pd 0.1528 0.1528 0.3056  8 Pd 2.75-2.87, 2 Te 2.77, 2 Ga 2.86
11 Te 0.5000 0.0000 0.0000  12 Pd 2.77-3.00

***

DFT (GGA-PBE) results for an optimized crystal structure of ZrScP2.

Properties
Final energy ... -29.28 eV per cell
ΔE_f ... -896 meV/atom
Symmetry ... P4/mmm
Crystal system ... tetragonal
Energy above the most stable polymorph in this dataset ... 0.540 eV/atom

abc: 4.6043 4.6043 3.2945
angles: 90.00 90.00 90.00
Last column: nearest neighbours and their distance in Å.
Fractional coordinates of all 4 atoms:
1 Sc 0.5000 0.0000 0.5000  8 P 2.83
2 P 0.5000 0.5000 0.0000  4 Zr 2.83, 4 Sc 2.83
3 P 0.0000 0.0000 0.0000  4 Zr 2.83, 4 Sc 2.83
4 Zr 0.0000 0.5000 0.5000  8 P 2.83

***

DFT (GGA-PBE) results for an optimized crystal structure of LaTc2Pb.

Properties
Final energy ... -26.69 eV per cell
ΔE_f ... 668 meV/atom
Symmetry ... Cmmm
Crystal system ... orthorhombic

abc: 3.1998 3.1998 8.8915
angles: 90.00 90.00 115.92
Last column: nearest neighbours and their distance in Å.
Fractional coordinates of all 4 atoms:
1 La 0.5000 0.5000 0.2500  4 Tc 2.79
2 Pb 0.5000 0.5000 0.7500  4 Tc 2.80
3 Tc 0.0000 0.0000 0.4995  2 La 2.79, 2 Pb 2.80
4 Tc 0.0000 0.0000 0.0005  2 La 2.79, 2 Pb 2.80

***

DFT (GGA-PBE) results for an optimized crystal structure of CoIrRu2.

Properties
Final energy ... -32.93 eV per cell
ΔE_f ... 396 meV/atom
Symmetry ... P4/mmm
Crystal system ... tetragonal

abc: 4.5290 4.5290 2.7196
angles: 90.00 90.00 90.00
Last column: nearest neighbours and their distance in Å.
Fractional coordinates of all 4 atoms:
1 Ru 0.5000 0.5000 0.0000  4 Ir 2.64, 4 Co 2.64, 2 Ru 2.72
2 Co 0.5000 0.0000 0.5000  8 Ru 2.64, 2 Co 2.72
3 Ru 0.0000 0.0000 0.0000  4 Ir 2.64, 4 Co 2.64, 2 Ru 2.72
4 Ir 0.0000 0.5000 0.5000  8 Ru 2.64, 2 Ir 2.72